Y3MnCu | PBE | relaxed

```
Y3MnCu
1.0
5.113 0.000 0.000
0.000 5.113 0.000
0.000 0.000 5.113
Y Mn Cu
3 1 1
direct
0.000 0.500 0.000 Y
0.000 0.000 0.500 Y
0.500 0.000 0.000 Y
0.000 0.000 0.000 Mn
0.500 0.500 0.500 Cu
```

Calculated values
The value obtained for the energy above the most stable polymorph in this dataset is 0 meV per atom. The calculated volume comes out at 133.69 Å³/cell. Its density of states at the Fermi level is 1.98 states/eV per atom. The formation enthalpy at 0 K comes out at 205 kJ/mol of formula units. The calculation puts the total DFT energy (no corrections) at -6.107 eV per atom.